[1]
Here is a relaxed Pm5Sb2N2 crystal from Alexandria via LeMat-Bulk. Energies are from GGA-PBE. Values from VASP.

Quantum ESPRESSO input file:
```
&SYSTEM
  ibrav = 0, nat = 9, ntyp = 3
/
ATOMIC_SPECIES
Pm 145.00 Pm.upf
Sb 121.76 Sb.upf
N 14.01 N.upf
CELL_PARAMETERS angstrom
6.623 -2.554 0.000
6.623 2.554 0.000
-1.986 0.000 7.000
ATOMIC_POSITIONS angstrom
Pm 0.000 0.000 0.000
Pm 0.912 0.000 4.035
Pm 4.283 0.000 0.555
Pm 6.978 0.000 6.445
Pm 10.349 0.000 2.965
Sb 4.040 0.000 4.853
Sb 7.221 0.000 2.147
N 0.381 0.000 6.231
N 10.880 0.000 0.769
```

Properties
N(E_F) = 4.9 states/eV/cell
E_form (uncorrected) = -1.028 eV per atom
calculated volume = 236.8 Å³/f.u.
theoretical density = 6.988 g/cm³

=====

[2]
Here is a relaxed La10Sn3Ge3 crystal from Alexandria via LeMat-Bulk. Energies are from GGA-PBE. Values from VASP.

Quantum ESPRESSO input file:
```
&SYSTEM
  ibrav = 0, nat = 16, ntyp = 3
/
ATOMIC_SPECIES
La 138.91 La.upf
Sn 118.71 Sn.upf
Ge 72.64 Ge.upf
CELL_PARAMETERS angstrom
9.357 0.000 0.000
-4.679 8.104 0.000
0.000 0.000 6.772
ATOMIC_POSITIONS angstrom
La -1.203 2.083 0.000
La -3.508 6.076 3.386
La 1.170 2.027 3.386
La 2.405 0.000 0.000
La 0.000 5.402 1.878
La 0.000 5.402 4.894
La 4.679 2.701 1.878
La 4.679 2.701 4.894
La 3.476 6.021 0.000
La 7.016 0.000 3.386
Sn -2.857 4.949 0.000
Sn 1.822 3.155 0.000
Sn 5.714 0.000 0.000
Ge -1.777 3.078 3.386
Ge 3.554 0.000 3.386
Ge 2.902 5.026 3.386
```

Properties
N(E_F) = 13.9 states/eV/cell
calculated formation energy = -690 meV/atom
calculated volume = 513.5 Å³/f.u.
theoretical density = 6.348 g/cm³

=====

[3]
Here is a relaxed Er2ScAu2 crystal from Alexandria via LeMat-Bulk. Energies are from GGA-PBE. Values from VASP.

Quantum ESPRESSO input file:
```
&SYSTEM
  ibrav = 0, nat = 5, ntyp = 3
/
ATOMIC_SPECIES
Er 167.26 Er.upf
Sc 44.96 Sc.upf
Au 196.97 Au.upf
CELL_PARAMETERS angstrom
-1.996 3.375 4.477
1.996 -3.375 4.477
1.996 3.375 -4.477
ATOMIC_POSITIONS angstrom
Er 0.000 0.000 1.796
Er 0.000 0.000 7.158
Sc 0.000 3.375 0.000
Au 1.996 1.460 0.000
Au 0.000 1.914 4.477
```

Properties
N(E_F) = 6.2 states/eV/cell
calculated formation energy = -637 meV/atom
calculated volume = 120.6 Å³/f.u.
theoretical density = 10.648 g/cm³

=====

[4]
Here is a relaxed Zn2MoPb crystal from Alexandria via LeMat-Bulk. Energies are from GGA-PBE. Values from VASP.

Quantum ESPRESSO input file:
```
&SYSTEM
  ibrav = 0, nat = 8, ntyp = 3
/
ATOMIC_SPECIES
Zn 65.41 Zn.upf
Mo 95.94 Mo.upf
Pb 207.20 Pb.upf
CELL_PARAMETERS angstrom
-3.767 3.767 2.771
3.767 -3.767 2.771
3.767 3.767 -2.771
ATOMIC_POSITIONS angstrom
Zn 5.650 1.680 -0.693
Zn 1.680 1.883 0.693
Zn -1.883 2.087 2.078
Zn 2.087 1.883 3.464
Mo 0.000 0.000 0.000
Mo 0.000 3.767 1.386
Pb 3.767 0.000 1.386
Pb 0.000 0.000 2.771
```

Properties
N(E_F) = 0.0 states/eV/cell
calculated formation energy = 605 meV/atom
calculated volume = 78.6 Å³/f.u.
theoretical density = 9.163 g/cm³

=====

Q: The highest N(E_F) belongs to which entry?
A: La10Sn3Ge3

=====

Copy entry 3 word for word.
Here is a relaxed Er2ScAu2 crystal from Alexandria via LeMat-Bulk. Energies are from GGA-PBE. Values from VASP.

Quantum ESPRESSO input file:
```
&SYSTEM
  ibrav = 0, nat = 5, ntyp = 3
/
ATOMIC_SPECIES
Er 167.26 Er.upf
Sc 44.96 Sc.upf
Au 196.97 Au.upf
CELL_PARAMETERS angstrom
-1.996 3.375 4.477
1.996 -3.375 4.477
1.996 3.375 -4.477
ATOMIC_POSITIONS angstrom
Er 0.000 0.000 1.796
Er 0.000 0.000 7.158
Sc 0.000 3.375 0.000
Au 1.996 1.460 0.000
Au 0.000 1.914 4.477
```

Properties
N(E_F) = 6.2 states/eV/cell
calculated formation energy = -637 meV/atom
calculated volume = 120.6 Å³/f.u.
theoretical density = 10.648 g/cm³

=====

Q: What is the calculated volume in the first record?
A: 236.8 Å³/f.u.